Compound: LiNbWF2
Source: Alexandria via LeMat-Bulk
Functional: PBE with a Hubbard U
Structure: optimized geometry

Lattice parameters (Å, degrees): 3.812 5.480 3.812 90.00 90.00 90.00
Site moments in Bohr magnetons follow the coordinates.
Atoms (fractional coordinates):
W1 0.500 0.500 0.500  1.94
Li1 0.000 0.000 0.000  -0.02
F1 0.000 0.000 0.500  0.01
Nb1 0.000 0.500 0.000  -1.84
F2 0.500 0.000 0.000  -0.01

Output
Theoretical density ... 6.71 g/cm3
Crystal system ... tetragonal
Fermi-level density of states ... 2.52 states/eV/f.u.
Energy ... -24.02 eV/cell
Total magnetic moment ... 0.2 μB per formula unit